No. 1
A geometry-optimized Nd2Sm6Ho3Pu structure, computed with GGA-PBE.

Cell and atoms, written as POSCAR:
```
Nd2Sm6Ho3Pu
1.0
3.1157 -5.4033 0.0000
3.1157 5.4033 0.0000
-2.0934 0.0000 11.6873
Nd Sm Ho Pu
2 6 3 1
Cartesian
3.1157 3.6031 0.0000
3.1157 -3.6031 0.0000
0.0021 1.7800 8.7464
1.0557 0.0000 2.9416
0.0021 -1.7800 8.7464
4.1359 1.7800 2.9410
3.0823 0.0000 8.7457
4.1359 -1.7800 2.9410
-1.0467 0.0000 5.8437
2.0690 1.7991 5.8437
2.0690 -1.7991 5.8437
3.1157 0.0000 0.0000
```

Computed properties:
Energy of formation in kJ per mole of atoms: 5.1
Magnetic moment in μB per formula unit: 6.47
DOS at the Fermi energy in states/eV per atom: 2.11

***

No. 2
A geometry-optimized LiPAu structure, computed with GGA-PBE.

Cell and atoms, written as POSCAR:
```
LiPAu
1.0
4.2591 0.0000 0.0000
-2.1296 3.6885 0.0000
0.0000 0.0000 3.0958
Li P Au
1 1 1
Cartesian
0.0000 0.0000 0.0000
2.1296 1.2295 1.5479
0.0000 2.4590 1.5479
```

Computed properties:
Energy of formation in kJ per mole of atoms: -34.7
Magnetic moment in μB per formula unit: 0.00
DOS at the Fermi energy in states/eV per atom: 0.07

***

No. 3
A geometry-optimized TbSm2Tm9 structure, computed with GGA-PBE.

Cell and atoms, written as POSCAR:
```
TbSm2Tm9
1.0
11.1158 0.0000 0.0000
-5.5579 9.6266 0.0000
0.0000 0.0000 3.4766
Tb Sm Tm
1 2 9
Cartesian
0.0000 0.0000 0.0000
0.0000 6.4177 0.0000
5.5579 3.2089 0.0000
-2.7790 4.8133 0.0000
0.0000 3.3801 1.7383
-2.6306 7.9365 1.7383
2.9273 1.6901 1.7383
5.5579 0.0000 0.0000
2.7790 4.8133 0.0000
2.6306 7.9365 1.7383
8.1885 1.6901 1.7383
5.5579 6.2465 1.7383
```

Computed properties:
Energy of formation in kJ per mole of atoms: 6.3
Magnetic moment in μB per formula unit: 0.00
DOS at the Fermi energy in states/eV per atom: 1.61
ΔE to the lowest computed polymorph in eV/atom: 0.039

***

No. 4
A geometry-optimized KCrN structure, computed with GGA-PBE.

Cell and atoms, written as POSCAR:
```
KCrN
1.0
3.3218 0.0000 0.0000
-1.6604 2.8771 0.0000
-0.4425 -1.0026 11.0042
K Cr N
2 2 2
Cartesian
-0.0005 -0.0006 3.4408
1.2194 1.8751 7.5634
-0.4422 0.9155 10.2557
1.6611 0.9591 0.7485
0.0003 1.9182 1.2543
1.2186 -0.0436 9.7499
```

Computed properties:
Formation energy from raw total energies in eV/atom: -0.107
Magnetic moment in μB per formula unit: 0.88
DOS at the Fermi energy in states/eV per atom: 0.55
ΔE to the lowest computed polymorph in eV/atom: 0.143

***

No. 5
A geometry-optimized BeAg2Ru structure, computed with GGA-PBE.

Cell and atoms, written as POSCAR:
```
BeAg2Ru
1.0
2.7075 0.0000 0.0000
0.0000 4.2787 0.0000
-1.3225 0.0000 5.0654
Be Ag Ru
1 2 1
Cartesian
0.0000 0.0000 0.0000
0.7303 2.1393 1.1943
0.6547 2.1393 3.8711
-0.6613 0.0000 2.5327
```

Computed properties:
Energy of formation in kJ per mole of atoms: 43.5
Magnetic moment in μB per formula unit: 0.20
DOS at the Fermi energy in states/eV per atom: 0.78